No. 1
# LiPmAlAg

A relaxed LiPmAlAg crystal (PBE-GGA, Alexandria via LeMat-Bulk).

abc: 4.8557 4.8557 4.8557
angles: 60.00 60.00 60.00
Element x y z (fractional)
Li (0.0000, 0.0000, 0.0000)
Pm (0.2500, 0.2500, 0.2500)
Al (0.7500, 0.7500, 0.7500)
Ag (0.5000, 0.5000, 0.5000)

## Properties
formation enthalpy at 0 K	-0.3050	eV/atom
crystal system	cubic
magnetic moment	0.00	μB/cell
density of states at the Fermi level	0.18	states/eV/atom


No. 2
# MgOs

A relaxed MgOs crystal (PBE-GGA, Alexandria via LeMat-Bulk).

abc: 7.3577 7.3577 7.3577
angles: 90.00 90.00 90.00
Element x y z (fractional)
Mg (0.0000, 0.2500, 0.5000)
Mg (0.0000, 0.7500, 0.5000)
Mg (0.2500, 0.5000, 0.0000)
Mg (0.5000, 0.0000, 0.2500)
Mg (0.5000, 0.0000, 0.7500)
Mg (0.7500, 0.5000, 0.0000)
Os (0.0000, 0.5000, 0.2500)
Os (0.0000, 0.5000, 0.7500)
Os (0.2500, 0.0000, 0.5000)
Os (0.5000, 0.2500, 0.0000)
Os (0.5000, 0.7500, 0.0000)
Os (0.7500, 0.0000, 0.5000)

## Properties
formation enthalpy at 0 K	2.5706	eV/atom
crystal system	cubic
magnetic moment	10.49	μB/cell
density of states at the Fermi level	1.94	states/eV/atom


no.,theoretical density (g/cm3)
1,5.9
2,5.4